No. 1
Compound: Cs2TlGaCl6
Source: Alexandria
Functional: PBE-GGA
Structure: optimized geometry

It has space group Fm-3m (No. 225), with a = 10.9630 Å, b = 10.9630 Å, c = 10.9630 Å, α = 90.00°, β = 90.00° and γ = 90.00°. Symmetry generates all atoms from Cs at (0.2500, 0.2500, 0.2500), Tl at (0.0000, 0.0000, 0.0000), Ga at (0.0000, 0.0000, 0.5000) and Cl at (0.0000, 0.0000, 0.2803).

Its total moment is 0.00 μB/cell. For the calculated total energy, the calculation gives -3.29 eV/atom. The uncorrected formation energy is -1.4671 eV/atom.

***

No. 2
Compound: Sr3PuS4
Source: Alexandria
Functional: PBE-GGA
Structure: optimized geometry

It has space group Cmmm (No. 65), with a = 8.4328 Å, b = 11.9424 Å, c = 4.2003 Å, α = 90.00°, β = 90.00° and γ = 90.00°. Symmetry generates all atoms from Sr at (0.0000, 0.0000, 0.0000), Sr at (0.2500, 0.2500, 0.5000), Pu at (0.0000, 0.5000, 0.0000), S at (0.0000, 0.2556, 0.0000) and S at (0.2372, 0.5000, 0.5000).

Its total moment is 11.88 μB/cell. For the calculated total energy, the calculation gives -6.46 eV/atom. The uncorrected formation energy is -1.9784 eV/atom.

***

> What is the total moment in the first record?

0.00 μB/cell